[1]
Computed, not measured: a relaxed structure of MgTlHg2 at the GGA-PBEsol level of DFT.

Cell lengths 5.460, 5.460, 5.460 Å; angles 129.63, 129.63, 74.00 degrees
Fractional coordinates of all 4 atoms:
Mg 0.000 0.000 0.000
Tl 0.500 0.500 0.000
Hg 0.250 0.750 0.500
Hg 0.750 0.250 0.500

[2]
Computed, not measured: a relaxed structure of MgTlHg2 at the GGA-PBEsol level of DFT.

Cell lengths 3.325, 3.325, 8.410 Å; angles 90.00, 90.00, 90.00 degrees
Fractional coordinates of all 4 atoms:
Mg 0.000 0.000 0.000
Tl 0.000 0.000 0.500
Hg 0.500 0.500 0.217
Hg 0.500 0.500 0.783

[3]
Computed, not measured: a relaxed structure of Mg2Tl2Hg at the GGA-PBEsol level of DFT.

Cell lengths 7.830, 7.830, 7.830 Å; angles 148.33, 148.33, 45.39 degrees
Fractional coordinates of all 5 atoms:
Mg 0.098 0.098 0.000
Mg 0.902 0.902 0.000
Tl 0.250 0.750 0.500
Tl 0.750 0.250 0.500
Hg 0.500 0.500 0.000

[4]
Computed, not measured: a relaxed structure of TmMgHg2 at the GGA-PBEsol level of DFT.

Cell lengths 4.953, 4.953, 4.953 Å; angles 60.00, 60.00, 60.00 degrees
Fractional coordinates of all 4 atoms:
Tm 0.000 0.000 0.000
Mg 0.500 0.500 0.500
Hg 0.250 0.250 0.250
Hg 0.750 0.750 0.750

[5]
Computed, not measured: a relaxed structure of Mg2HgW at the GGA-PBEsol level of DFT.

Properties
offset from the most stable computed form	0.085	eV/atom

Cell lengths 2.912, 4.264, 5.861 Å; angles 90.00, 90.00, 90.00 degrees
Fractional coordinates of all 4 atoms:
Mg 0.000 0.000 0.000
Mg 0.500 0.500 0.268
Hg 0.500 0.500 0.748
W 0.000 0.000 0.495

[6]
Computed, not measured: a relaxed structure of Mg2HgW at the GGA-PBEsol level of DFT.

Properties
offset from the most stable computed form	0.000	eV/atom

Cell lengths 5.531, 5.531, 2.833 Å; angles 101.13, 101.13, 116.67 degrees
Fractional coordinates of all 4 atoms:
Mg 0.000 0.500 0.000
Mg 0.500 0.000 0.000
Hg 0.000 0.000 0.500
W 0.500 0.500 0.500

no.,formation energy (eV per atom),D(E_F) (states/eV per atom)
1,-0.095,0.334
2,-0.139,0.430
3,0.099,0.530
4,-0.546,0.284
5,0.450,0.656
6,0.364,0.355